(1)
A relaxed KTcNi crystal, computed with PBE-GGA.

Unit cell a=5.3153 b=4.2604 c=10.2922 alpha=90.00 beta=90.00 gamma=90.00
Element x y z (fractional)
K  0.0009  0.2500  0.1073
K  0.4991  0.7500  0.6073
K  0.5009  0.2500  0.3927
K  0.9991  0.7500  0.8927
Tc  0.0008  0.7500  0.3186
Tc  0.4992  0.2500  0.8186
Tc  0.5008  0.7500  0.1814
Tc  0.9992  0.2500  0.6814
Ni  0.0007  0.2500  0.4436
Ni  0.4993  0.7500  0.9436
Ni  0.5007  0.2500  0.0564
Ni  0.9993  0.7500  0.5564

Output
DFT formation energy ... 1.03 eV/atom
Offset from the most stable computed form ... 176 kJ/mol of formula units
Density ... 5.580 g cm⁻³

---

(2)
A relaxed Ho3Tm8Th4 crystal, computed with PBE-GGA.

Unit cell a=9.2280 b=9.2280 c=6.5675 alpha=110.60 beta=110.60 gamma=88.15
Element x y z (fractional)
Ho  0.0000  0.0000  0.0000
Ho  0.0000  0.5000  0.0000
Ho  0.5000  0.0000  0.0000
Tm  0.2488  0.7512  0.0000
Tm  0.2577  0.2577  0.0046
Tm  0.2614  0.2614  0.4944
Tm  0.3633  0.6367  0.5000
Tm  0.6367  0.3633  0.5000
Tm  0.7386  0.7386  0.5056
Tm  0.7423  0.7423  0.9954
Tm  0.7512  0.2488  0.0000
Th  0.0000  0.0000  0.5000
Th  0.0000  0.5000  0.5000
Th  0.5000  0.0000  0.5000
Th  0.5000  0.5000  0.0000

Output
DFT formation energy ... 0.44 eV/atom
Density ... 9.454 g cm⁻³

---

(3)
A relaxed TaMo2Ir crystal, computed with PBE-GGA.

Unit cell a=2.7707 b=4.4292 c=5.3233 alpha=90.00 beta=100.32 gamma=90.00
Element x y z (fractional)
Ta  0.0000  0.0000  0.0000
Mo  0.2229  0.5000  0.7380
Mo  0.4491  0.0000  0.5103
Ir  0.7572  0.5000  0.2347

Output
DFT formation energy ... -0.12 eV/atom
Offset from the most stable computed form ... 12 kJ/mol of formula units
Density ... 14.599 g cm⁻³

---

(4)
A relaxed GdMg2Cd crystal, computed with PBE-GGA.

Unit cell a=7.2267 b=7.2267 c=7.2267 alpha=90.00 beta=90.00 gamma=90.00
Element x y z (fractional)
Gd  0.0000  0.0000  0.0000
Gd  0.0000  0.5000  0.5000
Gd  0.5000  0.0000  0.5000
Gd  0.5000  0.5000  0.0000
Mg  0.2500  0.2500  0.2500
Mg  0.2500  0.2500  0.7500
Mg  0.2500  0.7500  0.2500
Mg  0.2500  0.7500  0.7500
Mg  0.7500  0.2500  0.2500
Mg  0.7500  0.2500  0.7500
Mg  0.7500  0.7500  0.2500
Mg  0.7500  0.7500  0.7500
Cd  0.0000  0.0000  0.5000
Cd  0.0000  0.5000  0.0000
Cd  0.5000  0.0000  0.0000
Cd  0.5000  0.5000  0.5000

Output
DFT formation energy ... -0.14 eV/atom
Density ... 5.601 g cm⁻³

---

(5)
A relaxed Cs2NbF7 crystal, computed with PBE-GGA.

Unit cell a=8.3545 b=8.3545 c=10.4499 alpha=126.37 beta=126.37 gamma=51.39
Element x y z (fractional)
Cs  0.1161  0.2354  0.2611
Cs  0.2354  0.1161  0.7611
Cs  0.7646  0.8839  0.2389
Cs  0.8839  0.7646  0.7389
Nb  0.4150  0.5850  0.2500
Nb  0.5850  0.4150  0.7500
F  0.1329  0.8671  0.2500
F  0.2230  0.4972  0.2256
F  0.2616  0.5344  0.6209
F  0.2657  0.5653  0.0093
F  0.4347  0.7343  0.4907
F  0.4656  0.7384  0.8791
F  0.4972  0.2230  0.7256
F  0.5028  0.7770  0.2744
F  0.5344  0.2616  0.1209
F  0.5653  0.2657  0.5093
F  0.7343  0.4347  0.9907
F  0.7384  0.4656  0.3791
F  0.7770  0.5028  0.7744
F  0.8671  0.1329  0.7500

Output
Density ... 3.805 g cm⁻³
Formation energy (no corrections) ... -3064 meV per atom

---

(6)
A relaxed K2LaFe crystal, computed with PBE-GGA.

Unit cell a=4.9373 b=4.9373 c=6.3635 alpha=90.00 beta=90.00 gamma=90.00
Element x y z (fractional)
K  0.0000  0.0000  0.2282
K  0.0000  0.0000  0.7718
La  0.5000  0.5000  0.5000
Fe  0.5000  0.5000  0.0000

Output
DFT formation energy ... 1.03 eV/atom
Offset from the most stable computed form ... 224 kJ/mol of formula units
Density ... 2.922 g cm⁻³

---

(7)
A relaxed BaMg2CdAu4 crystal, computed with PBE-GGA.

Unit cell a=10.2567 b=10.2567 c=10.2567 alpha=26.42 beta=26.42 gamma=26.42
Element x y z (fractional)
Ba  0.0000  0.0000  0.0000
Mg  0.2305  0.2305  0.2305
Mg  0.7695  0.7695  0.7695
Cd  0.5000  0.5000  0.5000
Au  0.1246  0.1246  0.1246
Au  0.4045  0.4045  0.4045
Au  0.5955  0.5955  0.5955
Au  0.8754  0.8754  0.8754

Output
DFT formation energy ... -0.51 eV/atom
Density ... 9.582 g cm⁻³

---

(8)
A relaxed MgAl2Au crystal, computed with PBE-GGA.

Unit cell a=2.9727 b=4.8447 c=10.0917 alpha=90.00 beta=90.00 gamma=90.00
Element x y z (fractional)
Mg  0.0000  0.0000  0.0000
Mg  0.5000  0.5000  0.5000
Al  0.0000  0.5000  0.2264
Al  0.0000  0.5000  0.7736
Al  0.5000  0.0000  0.2736
Al  0.5000  0.0000  0.7264
Au  0.0000  0.0000  0.5000
Au  0.5000  0.5000  0.0000

Output
DFT formation energy ... -0.19 eV/atom
Density ... 6.289 g cm⁻³